[1]
Density functional theory data (GGA-PBE) for crystalline Fe2SiS4 at its relaxed geometry.

## Properties
Distance to the lowest polymorph of the same formula   0 meV per atom

a = 6.754 Å, b = 6.754 Å, c = 5.420 Å
α = 90.00°, β = 90.00°, γ = 120.00°
Fractional coordinates of all 14 atoms:
Fe 0.000 0.000 0.000
Fe 0.000 0.500 0.500
Fe 0.500 0.000 0.500
Fe 0.500 0.500 0.500
Si 0.333 0.667 0.082
Si 0.667 0.333 0.918
S 0.168 0.336 0.252
S 0.168 0.832 0.252
S 0.333 0.667 0.686
S 0.336 0.168 0.748
S 0.664 0.832 0.252
S 0.667 0.333 0.314
S 0.832 0.168 0.748
S 0.832 0.664 0.748


[2]
Density functional theory data (GGA-PBE) for crystalline FeSiSnS2 at its relaxed geometry.

a = 4.621 Å, b = 4.621 Å, c = 4.414 Å
α = 90.00°, β = 90.00°, γ = 90.00°
Fractional coordinates of all 5 atoms:
Fe 0.000 0.000 0.000
Si 0.000 0.000 0.500
Sn 0.500 0.500 0.500
S 0.000 0.500 0.000
S 0.500 0.000 0.000


[3]
Density functional theory data (GGA-PBE) for crystalline Tl2FeSiS4 at its relaxed geometry.

a = 13.329 Å, b = 12.126 Å, c = 6.916 Å
α = 84.11°, β = 64.82°, γ = 31.07°
Fractional coordinates of all 16 atoms:
Tl 0.061 0.061 0.689
Tl 0.311 0.311 0.939
Tl 0.689 0.689 0.061
Tl 0.939 0.939 0.311
Fe 0.125 0.125 0.125
Fe 0.875 0.875 0.875
Si 0.375 0.375 0.375
Si 0.625 0.625 0.625
S 0.002 0.649 0.555
S 0.294 0.555 0.649
S 0.351 0.998 0.706
S 0.445 0.706 0.998
S 0.555 0.294 0.002
S 0.649 0.002 0.294
S 0.706 0.445 0.351
S 0.998 0.351 0.445


[4]
Density functional theory data (GGA-PBE) for crystalline Y6FeSi2S14 at its relaxed geometry.

a = 9.800 Å, b = 9.800 Å, c = 5.705 Å
α = 90.00°, β = 90.00°, γ = 120.00°
Fractional coordinates of all 23 atoms:
Y 0.020 0.557 0.000
Y 0.311 0.108 0.491
Y 0.443 0.463 0.000
Y 0.537 0.980 0.000
Y 0.797 0.689 0.491
Y 0.892 0.203 0.491
Fe 0.667 0.333 0.285
Si 0.000 0.000 0.912
Si 0.333 0.667 0.407
S 0.000 0.000 0.282
S 0.083 0.853 0.765
S 0.147 0.229 0.765
S 0.190 0.438 0.259
S 0.248 0.810 0.259
S 0.333 0.667 0.777
S 0.433 0.188 0.050
S 0.514 0.419 0.504
S 0.562 0.752 0.259
S 0.581 0.095 0.504
S 0.755 0.567 0.050
S 0.771 0.917 0.765
S 0.812 0.245 0.050
S 0.905 0.486 0.504


[5]
Density functional theory data (GGA-PBE) for crystalline Fe3Sn2S8 at its relaxed geometry.

a = 7.154 Å, b = 7.154 Å, c = 7.154 Å
α = 122.30°, β = 117.75°, γ = 90.00°
Fractional coordinates of all 13 atoms:
Fe 0.000 0.000 0.000
Fe 0.382 0.132 0.750
Fe 0.382 0.633 0.250
Sn 0.389 0.625 0.764
Sn 0.861 0.625 0.236
S 0.149 0.394 0.246
S 0.149 0.903 0.754
S 0.154 0.880 0.274
S 0.176 0.375 0.801
S 0.574 0.375 0.199
S 0.605 0.335 0.730
S 0.605 0.875 0.270
S 0.606 0.880 0.726


[6]
Density functional theory data (GGA-PBE) for crystalline FeSnS3 at its relaxed geometry.

## Properties
Distance to the lowest polymorph of the same formula   0 meV per atom

a = 4.590 Å, b = 4.590 Å, c = 4.590 Å
α = 90.00°, β = 90.00°, γ = 90.00°
Fractional coordinates of all 5 atoms:
Fe 0.000 0.000 0.000
Sn 0.500 0.500 0.500
S 0.000 0.000 0.500
S 0.000 0.500 0.000
S 0.500 0.000 0.000


[7]
Density functional theory data (GGA-PBE) for crystalline Fe2SnS at its relaxed geometry.

## Properties
Distance to the lowest polymorph of the same formula   0 meV per atom

a = 5.769 Å, b = 5.769 Å, c = 9.389 Å
α = 90.00°, β = 90.00°, γ = 90.00°
Fractional coordinates of all 16 atoms:
Fe 0.180 0.250 0.125
Fe 0.250 0.680 0.375
Fe 0.250 0.820 0.875
Fe 0.320 0.250 0.625
Fe 0.680 0.750 0.625
Fe 0.750 0.180 0.875
Fe 0.750 0.320 0.375
Fe 0.820 0.750 0.125
Sn 0.000 0.000 0.500
Sn 0.000 0.500 0.750
Sn 0.500 0.000 0.250
Sn 0.500 0.500 0.000
S 0.000 0.000 0.000
S 0.000 0.500 0.250
S 0.500 0.000 0.750
S 0.500 0.500 0.500


[8]
Density functional theory data (GGA-PBE) for crystalline Fe2SnS2 at its relaxed geometry.

a = 4.110 Å, b = 4.110 Å, c = 8.769 Å
α = 90.00°, β = 90.00°, γ = 90.00°
Fractional coordinates of all 10 atoms:
Fe 0.000 0.000 0.141
Fe 0.000 0.000 0.859
Fe 0.500 0.500 0.359
Fe 0.500 0.500 0.641
Sn 0.000 0.000 0.500
Sn 0.500 0.500 0.000
S 0.000 0.500 0.250
S 0.000 0.500 0.750
S 0.500 0.000 0.250
S 0.500 0.000 0.750


[9]
Density functional theory data (GGA-PBE) for crystalline Fe2SnS4 at its relaxed geometry.

a = 7.118 Å, b = 7.118 Å, c = 7.118 Å
α = 120.52°, β = 119.20°, γ = 90.24°
Fractional coordinates of all 14 atoms:
Fe 0.000 0.000 0.500
Fe 0.000 0.500 0.000
Fe 0.381 0.131 0.250
Fe 0.619 0.869 0.750
Sn 0.000 0.500 0.500
Sn 0.500 0.500 0.000
S 0.210 0.246 0.965
S 0.219 0.754 0.465
S 0.228 0.216 0.488
S 0.228 0.741 0.012
S 0.772 0.259 0.988
S 0.772 0.784 0.512
S 0.781 0.246 0.535
S 0.790 0.754 0.035


[10]
Density functional theory data (GGA-PBE) for crystalline Fe2SnS at its relaxed geometry.

## Properties
Distance to the lowest polymorph of the same formula   93 meV per atom

a = 6.098 Å, b = 6.098 Å, c = 6.098 Å
α = 90.00°, β = 90.00°, γ = 90.00°
Fractional coordinates of all 16 atoms:
Fe 0.250 0.250 0.250
Fe 0.250 0.250 0.750
Fe 0.250 0.750 0.250
Fe 0.250 0.750 0.750
Fe 0.750 0.250 0.250
Fe 0.750 0.250 0.750
Fe 0.750 0.750 0.250
Fe 0.750 0.750 0.750
Sn 0.000 0.000 0.000
Sn 0.000 0.500 0.500
Sn 0.500 0.000 0.500
Sn 0.500 0.500 0.000
S 0.000 0.000 0.500
S 0.000 0.500 0.000
S 0.500 0.000 0.000
S 0.500 0.500 0.500


[11]
Density functional theory data (GGA-PBE) for crystalline FeSn2S at its relaxed geometry.

a = 6.188 Å, b = 6.188 Å, c = 11.396 Å
α = 90.00°, β = 90.00°, γ = 90.00°
Fractional coordinates of all 16 atoms:
Fe 0.000 0.000 0.000
Fe 0.000 0.500 0.250
Fe 0.500 0.000 0.750
Fe 0.500 0.500 0.500
Sn 0.228 0.250 0.125
Sn 0.250 0.728 0.375
Sn 0.250 0.772 0.875
Sn 0.272 0.250 0.625
Sn 0.728 0.750 0.625
Sn 0.750 0.228 0.875
Sn 0.750 0.272 0.375
Sn 0.772 0.750 0.125
S 0.000 0.000 0.500
S 0.000 0.500 0.750
S 0.500 0.000 0.250
S 0.500 0.500 0.000


[12]
Density functional theory data (GGA-PBE) for crystalline FeTcSnS2 at its relaxed geometry.

a = 4.308 Å, b = 4.308 Å, c = 5.325 Å
α = 90.00°, β = 90.00°, γ = 90.00°
Fractional coordinates of all 5 atoms:
Fe 0.000 0.000 0.000
Tc 0.500 0.500 0.500
Sn 0.000 0.000 0.500
S 0.000 0.500 0.000
S 0.500 0.000 0.000


[13]
Density functional theory data (GGA-PBE) for crystalline TiFeSnS2 at its relaxed geometry.

a = 4.413 Å, b = 4.413 Å, c = 4.786 Å
α = 90.00°, β = 90.00°, γ = 90.00°
Fractional coordinates of all 5 atoms:
Ti 0.000 0.000 0.000
Fe 0.000 0.000 0.500
Sn 0.500 0.500 0.000
S 0.000 0.500 0.500
S 0.500 0.000 0.500


[14]
Density functional theory data (GGA-PBE) for crystalline SrFeS2 at its relaxed geometry.

## Properties
Distance to the lowest polymorph of the same formula   449 meV per atom

a = 6.816 Å, b = 6.816 Å, c = 6.816 Å
α = 90.00°, β = 90.00°, γ = 90.00°
Fractional coordinates of all 16 atoms:
Sr 0.000 0.000 0.000
Sr 0.000 0.500 0.500
Sr 0.500 0.000 0.500
Sr 0.500 0.500 0.000
Fe 0.000 0.000 0.500
Fe 0.000 0.500 0.000
Fe 0.500 0.000 0.000
Fe 0.500 0.500 0.500
S 0.250 0.250 0.250
S 0.250 0.250 0.750
S 0.250 0.750 0.250
S 0.250 0.750 0.750
S 0.750 0.250 0.250
S 0.750 0.250 0.750
S 0.750 0.750 0.250
S 0.750 0.750 0.750


[15]
Density functional theory data (GGA-PBE) for crystalline SrFeS2 at its relaxed geometry.

## Properties
Distance to the lowest polymorph of the same formula   0 meV per atom

a = 6.823 Å, b = 6.823 Å, c = 6.920 Å
α = 90.00°, β = 90.00°, γ = 90.00°
Fractional coordinates of all 16 atoms:
Sr 0.000 0.000 0.000
Sr 0.000 0.500 0.250
Sr 0.500 0.000 0.750
Sr 0.500 0.500 0.500
Fe 0.000 0.000 0.500
Fe 0.000 0.500 0.750
Fe 0.500 0.000 0.250
Fe 0.500 0.500 0.000
S 0.144 0.250 0.625
S 0.250 0.644 0.875
S 0.250 0.856 0.375
S 0.356 0.250 0.125
S 0.644 0.750 0.125
S 0.750 0.144 0.375
S 0.750 0.356 0.875
S 0.856 0.750 0.625


[16]
Density functional theory data (GGA-PBE) for crystalline Sr3FeS at its relaxed geometry.

## Properties
Distance to the lowest polymorph of the same formula   0 meV per atom

a = 5.677 Å, b = 5.677 Å, c = 5.677 Å
α = 90.00°, β = 90.00°, γ = 90.00°
Fractional coordinates of all 5 atoms:
Sr 0.000 0.000 0.500
Sr 0.000 0.500 0.000
Sr 0.500 0.000 0.000
Fe 0.500 0.500 0.500
S 0.000 0.000 0.000


[17]
Density functional theory data (GGA-PBE) for crystalline SrFeS2 at its relaxed geometry.

## Properties
Distance to the lowest polymorph of the same formula   220 meV per atom

a = 4.383 Å, b = 4.383 Å, c = 22.053 Å
α = 90.00°, β = 90.00°, γ = 120.00°
Fractional coordinates of all 12 atoms:
Sr 0.000 0.000 0.000
Sr 0.333 0.667 0.667
Sr 0.667 0.333 0.333
Fe 0.000 0.000 0.500
Fe 0.333 0.667 0.167
Fe 0.667 0.333 0.833
S 0.000 0.000 0.403
S 0.000 0.000 0.597
S 0.333 0.667 0.070
S 0.333 0.667 0.264
S 0.667 0.333 0.736
S 0.667 0.333 0.930


[18]
Density functional theory data (GGA-PBE) for crystalline Sr2FeTeS at its relaxed geometry.

a = 5.825 Å, b = 5.825 Å, c = 4.239 Å
α = 90.00°, β = 90.00°, γ = 90.00°
Fractional coordinates of all 5 atoms:
Sr 0.000 0.500 0.000
Sr 0.500 0.000 0.000
Fe 0.000 0.000 0.500
Te 0.500 0.500 0.500
S 0.000 0.000 0.000


[19]
Density functional theory data (GGA-PBE) for crystalline SrZnFeS2 at its relaxed geometry.

a = 5.531 Å, b = 5.531 Å, c = 5.654 Å
α = 90.00°, β = 90.00°, γ = 90.00°
Fractional coordinates of all 5 atoms:
Sr 0.000 0.000 0.000
Zn 0.000 0.000 0.500
Fe 0.500 0.500 0.500
S 0.000 0.500 0.000
S 0.500 0.000 0.000


[20]
Density functional theory data (GGA-PBE) for crystalline TaFe3S at its relaxed geometry.

## Properties
Distance to the lowest polymorph of the same formula   1363 meV per atom

a = 4.576 Å, b = 4.576 Å, c = 4.576 Å
α = 90.00°, β = 90.00°, γ = 90.00°
Fractional coordinates of all 5 atoms:
Ta 0.000 0.000 0.000
Fe 0.000 0.000 0.500
Fe 0.000 0.500 0.000
Fe 0.500 0.000 0.000
S 0.500 0.500 0.500


[21]
Density functional theory data (GGA-PBE) for crystalline TaFeS at its relaxed geometry.

a = 10.407 Å, b = 10.407 Å, c = 10.407 Å
α = 19.48°, β = 19.48°, γ = 19.48°
Fractional coordinates of all 6 atoms:
Ta 0.062 0.062 0.062
Ta 0.938 0.938 0.938
Fe 0.343 0.343 0.343
Fe 0.657 0.657 0.657
S 0.222 0.222 0.222
S 0.778 0.778 0.778


[22]
Density functional theory data (GGA-PBE) for crystalline Ta4FeS8 at its relaxed geometry.

a = 6.626 Å, b = 6.626 Å, c = 11.738 Å
α = 90.00°, β = 90.00°, γ = 120.00°
Fractional coordinates of all 26 atoms:
Ta 0.000 0.000 0.250
Ta 0.000 0.000 0.750
Ta 0.012 0.506 0.250
Ta 0.494 0.506 0.250
Ta 0.494 0.988 0.250
Ta 0.506 0.012 0.750
Ta 0.506 0.494 0.750
Ta 0.988 0.494 0.750
Fe 0.000 0.000 0.000
Fe 0.000 0.000 0.500
S 0.165 0.330 0.616
S 0.165 0.330 0.884
S 0.165 0.835 0.616
S 0.165 0.835 0.884
S 0.330 0.165 0.116
S 0.330 0.165 0.384
S 0.333 0.667 0.113
S 0.333 0.667 0.387
S 0.667 0.333 0.613
S 0.667 0.333 0.887
S 0.670 0.835 0.616
S 0.670 0.835 0.884
S 0.835 0.165 0.116
S 0.835 0.165 0.384
S 0.835 0.670 0.116
S 0.835 0.670 0.384


[23]
Density functional theory data (GGA-PBE) for crystalline TaFe3S at its relaxed geometry.

## Properties
Distance to the lowest polymorph of the same formula   0 meV per atom

a = 4.099 Å, b = 4.099 Å, c = 4.099 Å
α = 90.00°, β = 90.00°, γ = 90.00°
Fractional coordinates of all 5 atoms:
Ta 0.000 0.000 0.000
Fe 0.000 0.500 0.500
Fe 0.500 0.000 0.500
Fe 0.500 0.500 0.000
S 0.500 0.500 0.500


[24]
Density functional theory data (GGA-PBE) for crystalline TaFe2TcS at its relaxed geometry.

a = 4.472 Å, b = 4.472 Å, c = 4.360 Å
α = 90.00°, β = 90.00°, γ = 90.00°
Fractional coordinates of all 5 atoms:
Ta 0.000 0.000 0.000
Fe 0.000 0.500 0.500
Fe 0.500 0.000 0.500
Tc 0.500 0.500 0.500
S 0.500 0.500 0.000


The magnetization results, record by record, are as follows: 0.00 1.87 8.00 0.12 6.01 3.68 14.55 0.00 8.05 15.87 8.05 5.23 1.31 15.70 0.00 0.67 12.00 2.01 2.91 5.39 1.57 0.00 3.99 3.01 Bohr magnetons per cell.
The E_form (uncorrected) results, record by record, are as follows: -2.497 1.352 -3.636 -35.571 -4.172 0.044 1.223 0.853 -2.179 1.594 1.372 3.920 0.631 -2.271 -4.066 0.182 -3.184 -4.788 3.916 8.262 -0.852 -13.160 1.448 6.183 eV/f.u..